# 1
Compound: Ca2TcPt
Source: the Alexandria database
Functional: PBE
Structure: optimized geometry

Output
polymorph energy (0 for the lowest one) = 127 meV/atom
energy of formation = 0.15 eV/atom
total magnetization = 0.000 Bohr magnetons per cell
SG = No. 6

a b c (Å): 2.934 5.069 5.506
angles (deg): 90.00 90.09 90.00
Sites, in units of the cell vectors:
Ca (0.000, 0.000, 0.000)
Ca (0.003, 0.500, 0.647)
Tc (0.502, 0.000, 0.468)
Pt (0.502, 0.500, 0.178)

---

# 2
Compound: CaTc2Pt
Source: the Alexandria database
Functional: PBE
Structure: optimized geometry

Output
polymorph energy (0 for the lowest one) = 244 meV/atom
energy of formation = 0.25 eV/atom
total magnetization = 0.000 Bohr magnetons per cell
SG = No. 10

a b c (Å): 2.822 5.039 4.862
angles (deg): 90.00 94.96 90.00
Sites, in units of the cell vectors:
Ca (0.000, 0.000, 0.000)
Tc (0.330, 0.500, 0.753)
Tc (0.670, 0.500, 0.247)
Pt (0.500, 0.000, 0.500)

---

# 3
Compound: Ca2TcPt
Source: the Alexandria database
Functional: PBE
Structure: optimized geometry

Output
polymorph energy (0 for the lowest one) = 0 meV/atom
energy of formation = 0.02 eV/atom
total magnetization = 1.592 Bohr magnetons per cell
SG = No. 44

a b c (Å): 6.108 6.108 6.108
angles (deg): 147.82 132.09 58.89
Sites, in units of the cell vectors:
Ca (0.000, 0.000, 0.000)
Ca (0.712, 0.212, 0.500)
Tc (0.437, 0.437, 0.000)
Pt (0.249, 0.749, 0.500)

---

# 4
Compound: Ca2TcPt
Source: the Alexandria database
Functional: PBE
Structure: optimized geometry

Output
polymorph energy (0 for the lowest one) = 162 meV/atom
energy of formation = 0.18 eV/atom
total magnetization = 2.464 Bohr magnetons per cell
SG = No. 216

a b c (Å): 4.891 4.891 4.891
angles (deg): 60.00 60.00 60.00
Sites, in units of the cell vectors:
Ca (0.000, 0.000, 0.000)
Ca (0.250, 0.250, 0.250)
Tc (0.500, 0.500, 0.500)
Pt (0.750, 0.750, 0.750)

---

# 5
Compound: Ca2TcPt
Source: the Alexandria database
Functional: PBE
Structure: optimized geometry

Output
polymorph energy (0 for the lowest one) = 53 meV/atom
energy of formation = 0.07 eV/atom
total magnetization = 2.219 Bohr magnetons per cell
SG = No. 123

a b c (Å): 3.550 3.550 6.890
angles (deg): 90.00 90.00 90.00
Sites, in units of the cell vectors:
Ca (0.000, 0.000, 0.236)
Ca (0.000, 0.000, 0.764)
Tc (0.500, 0.500, 0.500)
Pt (0.500, 0.500, 0.000)

---

# 6
Compound: Ca2TcPt
Source: the Alexandria database
Functional: PBE
Structure: optimized geometry

Output
polymorph energy (0 for the lowest one) = 264 meV/atom
energy of formation = 0.28 eV/atom
total magnetization = 1.174 Bohr magnetons per cell
SG = No. 166

a b c (Å): 9.384 9.384 9.384
angles (deg): 19.97 19.97 19.97
Sites, in units of the cell vectors:
Ca (0.249, 0.249, 0.249)
Ca (0.751, 0.751, 0.751)
Tc (0.000, 0.000, 0.000)
Pt (0.500, 0.500, 0.500)

---

# 7
Compound: Ca2TcPt
Source: the Alexandria database
Functional: PBE
Structure: optimized geometry

Output
polymorph energy (0 for the lowest one) = 228 meV/atom
energy of formation = 0.25 eV/atom
total magnetization = 0.000 Bohr magnetons per cell
SG = No. 12

a b c (Å): 4.902 4.902 5.941
angles (deg): 96.52 96.52 34.98
Sites, in units of the cell vectors:
Ca (0.247, 0.247, 0.251)
Ca (0.753, 0.753, 0.749)
Tc (0.000, 0.000, 0.500)
Pt (0.500, 0.500, 0.000)

---

# 8
Compound: CaTc2Pt
Source: the Alexandria database
Functional: PBE
Structure: optimized geometry

Output
polymorph energy (0 for the lowest one) = 232 meV/atom
energy of formation = 0.24 eV/atom
total magnetization = 0.000 Bohr magnetons per cell
SG = No. 47

a b c (Å): 3.431 4.169 4.774
angles (deg): 90.00 90.00 90.00
Sites, in units of the cell vectors:
Ca (0.000, 0.000, 0.000)
Tc (0.000, 0.500, 0.500)
Tc (0.500, 0.000, 0.500)
Pt (0.500, 0.500, 0.000)

---

# 9
Compound: Ca2TcPt
Source: the Alexandria database
Functional: PBE
Structure: optimized geometry

Output
polymorph energy (0 for the lowest one) = 173 meV/atom
energy of formation = 0.19 eV/atom
total magnetization = 2.046 Bohr magnetons per cell
SG = No. 225

a b c (Å): 4.949 4.949 4.949
angles (deg): 60.00 60.00 60.00
Sites, in units of the cell vectors:
Ca (0.250, 0.250, 0.250)
Ca (0.750, 0.750, 0.750)
Tc (0.000, 0.000, 0.000)
Pt (0.500, 0.500, 0.500)

---

# 10
Compound: CaTc2Pt
Source: the Alexandria database
Functional: PBE
Structure: optimized geometry

Output
polymorph energy (0 for the lowest one) = 100 meV/atom
energy of formation = 0.11 eV/atom
total magnetization = 0.000 Bohr magnetons per cell
SG = No. 12

a b c (Å): 6.053 6.053 4.624
angles (deg): 112.37 112.37 26.91
Sites, in units of the cell vectors:
Ca (0.000, 0.000, 0.000)
Tc (0.217, 0.217, 0.717)
Tc (0.783, 0.783, 0.283)
Pt (0.500, 0.500, 0.500)

---

# 11
Compound: CaTc2Pt
Source: the Alexandria database
Functional: PBE
Structure: optimized geometry

Output
polymorph energy (0 for the lowest one) = 97 meV/atom
energy of formation = 0.10 eV/atom
total magnetization = 0.000 Bohr magnetons per cell
SG = No. 6

a b c (Å): 2.834 4.381 5.797
angles (deg): 90.00 103.63 90.00
Sites, in units of the cell vectors:
Ca (0.000, 0.000, 0.000)
Tc (0.231, 0.000, 0.509)
Tc (0.386, 0.500, 0.698)
Pt (0.641, 0.500, 0.275)

---

# 12
Compound: Ca2TcPt2
Source: the Alexandria database
Functional: PBE
Structure: optimized geometry

Output
energy of formation = -0.38 eV/atom
total magnetization = 0.001 Bohr magnetons per cell
SG = No. 127

a b c (Å): 6.748 6.748 4.625
angles (deg): 90.00 90.00 90.00
Sites, in units of the cell vectors:
Ca (0.176, 0.324, 0.000)
Ca (0.324, 0.824, 0.000)
Ca (0.676, 0.176, 0.000)
Ca (0.824, 0.676, 0.000)
Tc (0.000, 0.000, 0.500)
Tc (0.500, 0.500, 0.500)
Pt (0.139, 0.639, 0.500)
Pt (0.361, 0.139, 0.500)
Pt (0.639, 0.861, 0.500)
Pt (0.861, 0.361, 0.500)